! GGA+U MnFeNF2, optimized geometry; values from VASP
&SYSTEM
  ibrav = 0, nat = 5, ntyp = 4
/
ATOMIC_SPECIES
Fe 55.84 Fe.upf
F 19.00 F.upf
N 14.01 N.upf
Mn 54.94 Mn.upf
CELL_PARAMETERS angstrom
-0.193 0.718 3.872
-1.454 -3.616 0.599
3.717 -1.420 0.448
ATOMIC_POSITIONS crystal
Fe 0.000 0.000 0.000
F 0.000 0.500 0.000
F 0.500 0.000 0.000
N 0.000 0.000 0.500
Mn 0.500 0.500 0.500
! Calculated total energy: -29.0 eV for the cell shown
! V: 12.45 Å³/atom
! Theoretical density: 4342 kg/m3
! DOS at the Fermi energy: 0.3424 states/eV/atom